[1]
This record from Alexandria describes a geometry-optimized Rb5OsO6 structure. The functional is PBE-GGA.

Lattice parameters (Å, degrees): 6.7223 11.6121 6.5261 90.00 110.45 90.00
Closest atoms and distances in Å follow each position.
Space group C2/m (No. 12)
Inequivalent atoms, fractional coordinates:
Rb 0.0000 0.0000 0.0000 [2 per cell]  4 O 2.77
Rb 0.0000 0.1675 0.5000 [4 per cell]  6 O 2.85-2.88
Rb 0.0000 0.3388 0.0000 [4 per cell]  4 O 2.74-2.77
Os 0.0000 0.5000 0.5000 [2 per cell]  6 O 1.94
O 0.1752 0.5000 0.3190 [4 per cell]  1 Os 1.94
O 0.1789 0.3823 0.6849 [8 per cell]  1 Os 1.94

Computed properties:
Spin magnetization ... 2.1 μB per cell
Raw total energy ... -5.1319 eV/atom
Calculated volume ... 19.89 Å³/atom
Formation energy from raw total energies ... -30.30 kcal/mol of atoms



[2]
This record from Alexandria describes a geometry-optimized RbOs2O6 structure. The functional is PBE-GGA.

Lattice parameters (Å, degrees): 10.2394 10.2394 10.2394 90.00 90.00 90.00
Closest atoms and distances in Å follow each position.
Space group Fd-3m (No. 227, origin choice 2)
Inequivalent atoms, fractional coordinates:
Rb 0.1250 0.1250 0.1250 [8 per cell]  6 O 3.17
Os 0.0000 0.0000 0.5000 [16 per cell]  6 O 1.93
O 0.0651 0.3750 0.8750 [48 per cell]  2 Os 1.93

Computed properties:
Spin magnetization ... 0.0 μB per cell
Raw total energy ... -7.1059 eV/atom
Calculated volume ... 14.91 Å³/atom
Formation energy from raw total energies ... -27.61 kcal/mol of atoms



[3]
This record from Alexandria describes a geometry-optimized RbOs3O structure. The functional is PBE-GGA.

Lattice parameters (Å, degrees): 4.9074 4.9074 4.9074 90.00 90.00 90.00
Closest atoms and distances in Å follow each position.
Space group Pm-3m (No. 221)
Inequivalent atoms, fractional coordinates:
Rb 0.0000 0.0000 0.0000 [1 per cell]  6 Os 2.45
Os 0.0000 0.0000 0.5000 [3 per cell]  2 Rb 2.45
O 0.5000 0.5000 0.5000 [1 per cell]  12 Os 3.47

Computed properties:
Spin magnetization ... 8.5 μB per cell
Distance to the lowest polymorph of the same formula ... 2737 meV per atom
Raw total energy ... -3.2637 eV/atom
Calculated volume ... 23.64 Å³/atom
Formation energy from raw total energies ... 107.45 kcal/mol of atoms



[4]
This record from Alexandria describes a geometry-optimized Rb2OsO structure. The functional is PBE-GGA.

Lattice parameters (Å, degrees): 12.1770 12.1770 3.7821 90.00 90.00 90.00
Closest atoms and distances in Å follow each position.
Space group I-42d (No. 122)
Inequivalent atoms, fractional coordinates:
Rb 0.0357 0.2500 0.1250 [8 per cell]  2 O 3.11, 2 Os 3.39
Os 0.0000 0.0000 0.5000 [4 per cell]  2 O 1.89
O 0.0000 0.0000 0.0000 [4 per cell]  2 Os 1.89

Computed properties:
Spin magnetization ... 0.0 μB per cell
Raw total energy ... -4.6486 eV/atom
Calculated volume ... 35.05 Å³/atom
Formation energy from raw total energies ... -2.72 kcal/mol of atoms



[5]
This record from Alexandria describes a geometry-optimized RbOs3O structure. The functional is PBE-GGA.

Lattice parameters (Å, degrees): 4.3302 4.3302 4.3302 90.00 90.00 90.00
Closest atoms and distances in Å follow each position.
Space group Pm-3m (No. 221)
Inequivalent atoms, fractional coordinates:
Rb 0.0000 0.0000 0.0000 [1 per cell]  12 Os 3.06
Os 0.0000 0.5000 0.5000 [3 per cell]  2 O 2.17
O 0.5000 0.5000 0.5000 [1 per cell]  6 Os 2.17

Computed properties:
Spin magnetization ... 0.8 μB per cell
Distance to the lowest polymorph of the same formula ... 0 meV per atom
Raw total energy ... -6.0006 eV/atom
Calculated volume ... 16.24 Å³/atom
Formation energy from raw total energies ... 44.33 kcal/mol of atoms



[6]
This record from Alexandria describes a geometry-optimized RbOsO3 structure. The functional is PBE-GGA.

Lattice parameters (Å, degrees): 4.2804 4.2804 4.2804 90.00 90.00 90.00
Closest atoms and distances in Å follow each position.
Space group Pm-3m (No. 221)
Inequivalent atoms, fractional coordinates:
Rb 0.0000 0.0000 0.0000 [1 per cell]  6 O 2.14
Os 0.5000 0.5000 0.5000 [1 per cell]  12 O 3.03
O 0.0000 0.0000 0.5000 [3 per cell]  2 Rb 2.14

Computed properties:
Spin magnetization ... 4.8 μB per cell
Raw total energy ... -3.3630 eV/atom
Calculated volume ... 15.69 Å³/atom
Formation energy from raw total energies ... 47.31 kcal/mol of atoms